(1)
DFT (PBE) results for an optimized crystal structure of TbGeS3.

Summary:
- E (eV per atom) = -5.4463
- calculated volume (Å³ per atom) = 22.6

Unit cell a=6.599 b=7.184 c=11.355 alpha=90.00 beta=122.84 gamma=90.00
Atoms (fractional coordinates):
Tb (0.202, 0.124, 0.253)
Tb (0.202, 0.376, 0.753)
Tb (0.798, 0.624, 0.247)
Tb (0.798, 0.876, 0.747)
Ge (0.153, 0.609, 0.069)
Ge (0.153, 0.891, 0.569)
Ge (0.847, 0.109, 0.431)
Ge (0.847, 0.391, 0.931)
S (0.077, 0.169, 0.922)
S (0.077, 0.331, 0.422)
S (0.276, 0.696, 0.929)
S (0.276, 0.804, 0.429)
S (0.430, 0.030, 0.766)
S (0.430, 0.470, 0.266)
S (0.570, 0.530, 0.734)
S (0.570, 0.970, 0.234)
S (0.724, 0.196, 0.571)
S (0.724, 0.304, 0.071)
S (0.923, 0.669, 0.578)
S (0.923, 0.831, 0.078)

(2)
DFT (PBE) results for an optimized crystal structure of Tb3GeS6.

Summary:
- E (eV per atom) = -5.9102
- calculated volume (Å³ per atom) = 23.7

Unit cell a=8.560 b=8.560 c=6.618 alpha=90.00 beta=90.00 gamma=102.54
Atoms (fractional coordinates):
Tb (0.098, 0.902, 0.500)
Tb (0.215, 0.413, 0.583)
Tb (0.413, 0.215, 0.083)
Tb (0.587, 0.785, 0.583)
Tb (0.785, 0.587, 0.083)
Tb (0.902, 0.098, 0.000)
Ge (0.300, 0.700, 0.124)
Ge (0.700, 0.300, 0.624)
S (0.065, 0.599, 0.305)
S (0.133, 0.191, 0.291)
S (0.191, 0.133, 0.791)
S (0.282, 0.718, 0.750)
S (0.401, 0.935, 0.305)
S (0.464, 0.536, 0.277)
S (0.536, 0.464, 0.777)
S (0.599, 0.065, 0.805)
S (0.718, 0.282, 0.250)
S (0.809, 0.867, 0.291)
S (0.867, 0.809, 0.791)
S (0.935, 0.401, 0.805)

(3)
DFT (PBE) results for an optimized crystal structure of TbGeS3.

Summary:
- E (eV per atom) = -5.3754
- calculated volume (Å³ per atom) = 25.1

Unit cell a=6.930 b=6.631 c=10.917 alpha=90.00 beta=90.00 gamma=90.00
Atoms (fractional coordinates):
Tb (0.099, 0.066, 0.000)
Tb (0.401, 0.566, 0.500)
Tb (0.599, 0.434, 0.000)
Tb (0.901, 0.934, 0.500)
Ge (0.081, 0.539, 0.165)
Ge (0.419, 0.039, 0.665)
Ge (0.581, 0.961, 0.165)
Ge (0.919, 0.461, 0.665)
S (0.093, 0.669, 0.357)
S (0.160, 0.242, 0.560)
S (0.160, 0.752, 0.662)
S (0.340, 0.252, 0.162)
S (0.340, 0.742, 0.060)
S (0.407, 0.169, 0.857)
S (0.593, 0.831, 0.357)
S (0.660, 0.258, 0.560)
S (0.660, 0.748, 0.662)
S (0.840, 0.248, 0.162)
S (0.840, 0.758, 0.060)
S (0.907, 0.331, 0.857)

(4)
DFT (PBE) results for an optimized crystal structure of Tb4GeS3.

Summary:
- E (eV per atom) = -6.2292
- calculated volume (Å³ per atom) = 22.5

Unit cell a=5.647 b=5.647 c=5.647 alpha=90.00 beta=90.00 gamma=90.00
Atoms (fractional coordinates):
Tb (0.000, 0.000, 0.000)
Tb (0.000, 0.500, 0.500)
Tb (0.500, 0.000, 0.500)
Tb (0.500, 0.500, 0.000)
Ge (0.500, 0.500, 0.500)
S (0.000, 0.000, 0.500)
S (0.000, 0.500, 0.000)
S (0.500, 0.000, 0.000)

(5)
DFT (PBE) results for an optimized crystal structure of TbGeS.

Summary:
- E (eV per atom) = -5.7933
- calculated volume (Å³ per atom) = 21.3

Unit cell a=9.268 b=9.268 c=9.268 alpha=156.34 beta=156.34 gamma=33.70
Atoms (fractional coordinates):
Tb (0.149, 0.149, 0.000)
Tb (0.851, 0.851, 0.000)
Ge (0.000, 0.500, 0.500)
Ge (0.500, 0.000, 0.500)
S (0.312, 0.312, 0.000)
S (0.688, 0.688, 0.000)

(6)
DFT (PBE) results for an optimized crystal structure of Tb6GeTe2S3.

Summary:
- E (eV per atom) = -5.8710
- calculated volume (Å³ per atom) = 24.9

Unit cell a=7.136 b=7.136 c=7.161 alpha=99.61 beta=99.61 gamma=119.82
Atoms (fractional coordinates):
Tb (0.091, 0.402, 0.776)
Tb (0.216, 0.216, 0.224)
Tb (0.402, 0.091, 0.776)
Tb (0.598, 0.909, 0.224)
Tb (0.784, 0.784, 0.776)
Tb (0.909, 0.598, 0.224)
Ge (0.000, 0.000, 0.500)
Te (0.334, 0.666, 0.500)
Te (0.666, 0.334, 0.500)
S (0.174, 0.826, 0.000)
S (0.500, 0.500, 0.000)
S (0.826, 0.174, 0.000)

(7)
DFT (PBE) results for an optimized crystal structure of Tb8Ge3Te4S.

Summary:
- E (eV per atom) = -5.5693
- calculated volume (Å³ per atom) = 27.3

Unit cell a=8.596 b=8.596 c=8.596 alpha=58.79 beta=58.79 gamma=58.79
Atoms (fractional coordinates):
Tb (0.237, 0.741, 0.741)
Tb (0.241, 0.241, 0.241)
Tb (0.259, 0.259, 0.763)
Tb (0.259, 0.763, 0.259)
Tb (0.741, 0.237, 0.741)
Tb (0.741, 0.741, 0.237)
Tb (0.759, 0.759, 0.759)
Tb (0.763, 0.259, 0.259)
Ge (0.000, 0.000, 0.500)
Ge (0.000, 0.500, 0.000)
Ge (0.500, 0.000, 0.000)
Te (0.000, 0.000, 0.000)
Te (0.000, 0.500, 0.500)
Te (0.500, 0.000, 0.500)
Te (0.500, 0.500, 0.000)
S (0.500, 0.500, 0.500)

(8)
DFT (PBE) results for an optimized crystal structure of Tb6Ge2TeS3.

Summary:
- E (eV per atom) = -5.9257
- calculated volume (Å³ per atom) = 24.4

Unit cell a=9.125 b=9.125 c=8.227 alpha=102.03 beta=102.03 gamma=25.96
Atoms (fractional coordinates):
Tb (0.003, 0.003, 0.276)
Tb (0.325, 0.325, 0.905)
Tb (0.333, 0.333, 0.417)
Tb (0.667, 0.667, 0.583)
Tb (0.675, 0.675, 0.095)
Tb (0.997, 0.997, 0.724)
Ge (0.167, 0.167, 0.334)
Ge (0.833, 0.833, 0.666)
Te (0.500, 0.500, 0.000)
S (0.164, 0.164, 0.835)
S (0.500, 0.500, 0.500)
S (0.836, 0.836, 0.165)

(9)
DFT (PBE) results for an optimized crystal structure of Tb4GeTeS2.

Summary:
- E (eV per atom) = -5.8942
- calculated volume (Å³ per atom) = 24.6

Unit cell a=7.060 b=4.099 c=7.219 alpha=90.00 beta=109.34 gamma=90.00
Atoms (fractional coordinates):
Tb (0.228, 0.000, 0.222)
Tb (0.243, 0.500, 0.763)
Tb (0.757, 0.500, 0.237)
Tb (0.772, 0.000, 0.778)
Ge (0.500, 0.000, 0.000)
Te (0.500, 0.500, 0.500)
S (0.000, 0.000, 0.500)
S (0.000, 0.500, 0.000)

(10)
DFT (PBE) results for an optimized crystal structure of Tb3GeTeS.

Summary:
- E (eV per atom) = -5.4691
- calculated volume (Å³ per atom) = 29.1

Unit cell a=8.496 b=4.359 c=9.561 alpha=90.00 beta=99.58 gamma=90.00
Atoms (fractional coordinates):
Tb (0.075, 0.250, 0.353)
Tb (0.264, 0.250, 0.969)
Tb (0.381, 0.750, 0.636)
Tb (0.619, 0.250, 0.364)
Tb (0.736, 0.750, 0.031)
Tb (0.925, 0.750, 0.647)
Ge (0.156, 0.250, 0.656)
Ge (0.844, 0.750, 0.344)
Te (0.330, 0.750, 0.296)
Te (0.670, 0.250, 0.704)
S (0.410, 0.750, 0.910)
S (0.590, 0.250, 0.090)

(11)
DFT (PBE) results for an optimized crystal structure of Tb6Ge3TeS2.

Summary:
- E (eV per atom) = -5.7662
- calculated volume (Å³ per atom) = 25.2

Unit cell a=9.264 b=9.264 c=8.330 alpha=103.19 beta=103.19 gamma=25.83
Atoms (fractional coordinates):
Tb (0.002, 0.002, 0.269)
Tb (0.325, 0.325, 0.914)
Tb (0.333, 0.333, 0.415)
Tb (0.667, 0.667, 0.585)
Tb (0.675, 0.675, 0.086)
Tb (0.998, 0.998, 0.731)
Ge (0.164, 0.164, 0.830)
Ge (0.500, 0.500, 0.500)
Ge (0.836, 0.836, 0.170)
Te (0.500, 0.500, 0.000)
S (0.169, 0.169, 0.336)
S (0.831, 0.831, 0.664)

(12)
DFT (PBE) results for an optimized crystal structure of Tb3Tl3GeS8.

Summary:
- E (eV per atom) = -5.0806
- calculated volume (Å³ per atom) = 27.4

Unit cell a=8.876 b=8.876 c=8.876 alpha=52.84 beta=52.84 gamma=52.84
Atoms (fractional coordinates):
Tb (0.000, 0.500, 0.500)
Tb (0.500, 0.000, 0.500)
Tb (0.500, 0.500, 0.000)
Tl (0.000, 0.000, 0.500)
Tl (0.000, 0.500, 0.000)
Tl (0.500, 0.000, 0.000)
Ge (0.000, 0.000, 0.000)
S (0.213, 0.213, 0.759)
S (0.213, 0.759, 0.213)
S (0.241, 0.787, 0.787)
S (0.267, 0.267, 0.267)
S (0.733, 0.733, 0.733)
S (0.759, 0.213, 0.213)
S (0.787, 0.241, 0.787)
S (0.787, 0.787, 0.241)

(13)
DFT (PBE) results for an optimized crystal structure of TbTmGeS.

Summary:
- E (eV per atom) = -5.8983
- calculated volume (Å³ per atom) = 23.1

Unit cell a=7.000 b=7.000 c=7.000 alpha=33.39 beta=33.39 gamma=33.39
Atoms (fractional coordinates):
Tb (0.000, 0.000, 0.000)
Tm (0.501, 0.501, 0.501)
Ge (0.249, 0.249, 0.249)
S (0.752, 0.752, 0.752)

(14)
DFT (PBE) results for an optimized crystal structure of TcGeS2.

Summary:
- E (eV per atom) = -5.7462
- calculated volume (Å³ per atom) = 21.6

Unit cell a=6.558 b=6.558 c=6.558 alpha=127.35 beta=127.35 gamma=77.68
Atoms (fractional coordinates):
Tc (0.000, 0.000, 0.000)
Tc (0.750, 0.250, 0.500)
Ge (0.250, 0.750, 0.500)
Ge (0.500, 0.500, 0.000)
S (0.077, 0.625, 0.952)
S (0.375, 0.327, 0.452)
S (0.673, 0.125, 0.048)
S (0.875, 0.923, 0.548)

(15)
DFT (PBE) results for an optimized crystal structure of TcGeS2.

Summary:
- E (eV per atom) = -5.9274
- calculated volume (Å³ per atom) = 18.1

Unit cell a=8.776 b=8.776 c=8.776 alpha=20.51 beta=20.51 gamma=20.51
Atoms (fractional coordinates):
Tc (0.000, 0.000, 0.000)
Ge (0.500, 0.500, 0.500)
S (0.396, 0.396, 0.396)
S (0.604, 0.604, 0.604)

(16)
DFT (PBE) results for an optimized crystal structure of TcGe2S.

Summary:
- E (eV per atom) = -5.5093
- calculated volume (Å³ per atom) = 22.6

Unit cell a=6.806 b=6.806 c=6.806 alpha=130.01 beta=130.01 gamma=73.39
Atoms (fractional coordinates):
Tc (0.000, 0.000, 0.000)
Tc (0.750, 0.250, 0.500)
Ge (0.109, 0.625, 0.984)
Ge (0.375, 0.359, 0.484)
Ge (0.641, 0.125, 0.016)
Ge (0.875, 0.891, 0.516)
S (0.250, 0.750, 0.500)
S (0.500, 0.500, 0.000)

(17)
DFT (PBE) results for an optimized crystal structure of Tc2Ge2S.

Summary:
- E (eV per atom) = -6.7210
- calculated volume (Å³ per atom) = 15.5

Unit cell a=6.951 b=6.951 c=3.205 alpha=90.00 beta=90.00 gamma=90.00
Atoms (fractional coordinates):
Tc (0.158, 0.342, 0.000)
Tc (0.342, 0.842, 0.000)
Tc (0.658, 0.158, 0.000)
Tc (0.842, 0.658, 0.000)
Ge (0.138, 0.638, 0.500)
Ge (0.362, 0.138, 0.500)
Ge (0.638, 0.862, 0.500)
Ge (0.862, 0.362, 0.500)
S (0.000, 0.000, 0.000)
S (0.500, 0.500, 0.000)

(18)
DFT (PBE) results for an optimized crystal structure of TcGeS.

Summary:
- E (eV per atom) = -6.5868
- calculated volume (Å³ per atom) = 16.8

Unit cell a=5.857 b=6.239 c=6.221 alpha=90.00 beta=117.80 gamma=90.00
Atoms (fractional coordinates):
Tc (0.221, 0.020, 0.494)
Tc (0.221, 0.480, 0.994)
Tc (0.779, 0.520, 0.006)
Tc (0.779, 0.980, 0.506)
Ge (0.342, 0.653, 0.682)
Ge (0.342, 0.847, 0.182)
Ge (0.658, 0.153, 0.818)
Ge (0.658, 0.347, 0.318)
S (0.166, 0.111, 0.834)
S (0.166, 0.389, 0.334)
S (0.834, 0.611, 0.666)
S (0.834, 0.889, 0.166)

(19)
DFT (PBE) results for an optimized crystal structure of TcGeS3.

Summary:
- E (eV per atom) = -5.1356
- calculated volume (Å³ per atom) = 20.3

Unit cell a=4.662 b=4.662 c=4.662 alpha=90.00 beta=90.00 gamma=90.00
Atoms (fractional coordinates):
Tc (0.000, 0.000, 0.000)
Ge (0.500, 0.500, 0.500)
S (0.000, 0.000, 0.500)
S (0.000, 0.500, 0.000)
S (0.500, 0.000, 0.000)

(20)
DFT (PBE) results for an optimized crystal structure of TcGeS3.

Summary:
- E (eV per atom) = -4.5995
- calculated volume (Å³ per atom) = 20.6

Unit cell a=4.685 b=4.685 c=4.685 alpha=90.00 beta=90.00 gamma=90.00
Atoms (fractional coordinates):
Tc (0.000, 0.000, 0.000)
Ge (0.500, 0.500, 0.500)
S (0.000, 0.500, 0.500)
S (0.500, 0.000, 0.500)
S (0.500, 0.500, 0.000)

(21)
DFT (PBE) results for an optimized crystal structure of TcGeS2.

Summary:
- E (eV per atom) = -5.4831
- calculated volume (Å³ per atom) = 17.9

Unit cell a=7.747 b=7.747 c=7.747 alpha=24.75 beta=24.75 gamma=24.75
Atoms (fractional coordinates):
Tc (0.000, 0.000, 0.000)
Ge (0.500, 0.500, 0.500)
S (0.100, 0.100, 0.100)
S (0.900, 0.900, 0.900)

(22)
DFT (PBE) results for an optimized crystal structure of Th4TcGeS2.

Summary:
- E (eV per atom) = -7.6756
- calculated volume (Å³ per atom) = 25.8

Unit cell a=7.199 b=4.140 c=7.331 alpha=90.00 beta=108.94 gamma=90.00
Atoms (fractional coordinates):
Th (0.237, 0.000, 0.235)
Th (0.243, 0.500, 0.764)
Th (0.757, 0.500, 0.236)
Th (0.763, 0.000, 0.765)
Tc (0.000, 0.500, 0.000)
Ge (0.000, 0.000, 0.500)
S (0.500, 0.000, 0.000)
S (0.500, 0.500, 0.500)